[1]
Material: NbOsPbS2
Method: DFT, PBE
State: optimized geometry

## Properties
Its size of the total moment is 1.1 μB/f.u. Its raw formation energy is 1068.5 kJ/mol of formula units.

Unit cell a=4.9900 b=5.5873 c=4.9900 alpha=90.00 beta=90.00 gamma=90.00
Last column: nearest neighbours and their distance in Å.
Fractional positions:
Pb 0.0000 0.0000 0.0000  4 S 2.49, 2 Nb 2.79
Nb 0.0000 0.5000 0.0000  2 Pb 2.79
Os 0.5000 0.5000 0.5000  4 Nb 3.53, 8 S 3.75
S 0.0000 0.0000 0.5000  2 Pb 2.49
S 0.5000 0.0000 0.0000  2 Pb 2.49


[2]
Material: SrBe2In
Method: DFT, PBE
State: optimized geometry

## Properties
Its size of the total moment is 0.0 μB/f.u. The formation energy comes out at 1.59 eV/f.u.

Unit cell a=5.1905 b=5.1905 c=5.1905 alpha=132.63 beta=115.40 gamma=83.91
Last column: nearest neighbours and their distance in Å.
Fractional positions:
Sr 0.2277 0.7277 0.5000  5 Be 3.06-3.30, 4 In 3.10-3.23
Be 0.8956 0.8956 0.0000  2 Be 2.15
Be 0.8293 0.3293 0.5000  2 Be 2.15
In 0.5474 0.5474 0.0000  1 Be 2.69


[3]
Material: BeTcTe2
Method: DFT, PBE
State: optimized geometry

## Properties
Its size of the total moment is 0.0 μB/f.u. Its raw formation energy is 274.3 kJ/mol of formula units.

Unit cell a=8.5889 b=8.5889 c=8.5889 alpha=22.75 beta=22.75 gamma=22.75
Last column: nearest neighbours and their distance in Å.
Fractional positions:
Be 0.5000 0.5000 0.5000  6 Te 2.54
Te 0.8978 0.8978 0.8978  3 Be 2.54, 1 Tc 2.56
Te 0.1022 0.1022 0.1022  3 Be 2.54, 1 Tc 2.56
Tc 0.0000 0.0000 0.0000  2 Te 2.56